4
Lattice="-1.6182 -1.2929 -3.8646 0.7377 -2.6818 -3.3896 -5.1909 -7.3754 4.1798" Properties=species:S:1:pos:R:3 comment="PBE K2NiOs, optimized geometry" polymorph_energy_mev_per_atom=84 e_form_mev_per_atom=779 volume_a3_per_cell=115 crystal_system=monoclinic pbc="T T T"
K -4.6905 -6.6982 3.6781
K -2.0260 -3.5146 -0.2280
Ni -3.5134 -6.3343 -1.0956
Os -4.0681 -7.8535 -2.7865